No. 1
# MgS4, relaxed, DFT PBE-GGA
# - Raw formation energy: -0.3154 eV/atom
# - SG: C2/m (12)
# - DOS(E_F): 0.36 states/eV per cell
# - Total energy: -3.9363 eV/atom
data_MgS4
_space_group_name_H-M_alt 'P 1'
_space_group_IT_number 1
_cell_length_a 3.9643
_cell_length_b 3.9643
_cell_length_c 7.9971
_cell_angle_alpha 103.88
_cell_angle_beta 103.88
_cell_angle_gamma 65.00
loop_
_space_group_symop_operation_xyz
'x,y,z'
loop_
_atom_site_label
_atom_site_fract_x
_atom_site_fract_y
_atom_site_fract_z
Mg1 0.0000 0.0000 0.0000
S1 0.3508 0.3508 0.4022
S2 0.4115 0.4115 0.1612
S3 0.5885 0.5885 0.8388
S4 0.6492 0.6492 0.5978



No. 2
# Cd2HAu, relaxed, DFT PBE-GGA
# - SG: I-42d (122)
# - DOS(E_F): 1.36 states/eV per cell
# - Total energy: -1.9296 eV/atom
data_Cd2HAu
_space_group_name_H-M_alt 'P 1'
_space_group_IT_number 1
_cell_length_a 5.6578
_cell_length_b 5.6578
_cell_length_c 5.6578
_cell_angle_alpha 109.13
_cell_angle_beta 109.13
_cell_angle_gamma 110.15
loop_
_space_group_symop_operation_xyz
'x,y,z'
loop_
_atom_site_label
_atom_site_fract_x
_atom_site_fract_y
_atom_site_fract_z
Cd1 0.0440 0.6250 0.9190
Cd2 0.3750 0.2940 0.4190
Cd3 0.7060 0.1250 0.0810
Cd4 0.8750 0.9560 0.5810
H1 0.0000 0.0000 0.0000
H2 0.7500 0.2500 0.5000
Au1 0.2500 0.7500 0.5000
Au2 0.5000 0.5000 0.0000